Entry from Alexandria via LeMat-Bulk: PrCd3Pd2 after structural relaxation (PBE).

a b c (Å): 9.6830 9.6830 10.8224
angles (deg): 105.01 105.01 24.35
Atoms (fractional coordinates):
Pr 0.0000 0.0000 0.0000
Pr 0.1566 0.1566 0.7137
Pr 0.8434 0.8434 0.2863
Cd 0.0474 0.0474 0.3418
Cd 0.2141 0.2141 0.4036
Cd 0.3284 0.3284 0.0278
Cd 0.3750 0.3750 0.7893
Cd 0.5000 0.5000 0.5000
Cd 0.6250 0.6250 0.2107
Cd 0.6716 0.6716 0.9722
Cd 0.7859 0.7859 0.5964
Cd 0.9526 0.9526 0.6582
Pd 0.2180 0.2180 0.1536
Pd 0.3618 0.3618 0.5080
Pd 0.4663 0.4663 0.1969
Pd 0.5337 0.5337 0.8031
Pd 0.6382 0.6382 0.4920
Pd 0.7820 0.7820 0.8464

- M_tot: 0.000 μB per cell
- Calculated density: 8.5 g/cm3
- Final energy: -3.4087 eV/atom